K2NaTl2Pt | the Alexandria database | PBE | relaxed; uncorrected energy = -2.5243 eV/atom
1.0
-3.547 7.601 3.921
3.547 -7.601 3.921
3.547 7.601 -3.921
K Na Tl Pt
4 2 4 2
Cartesian
1.760 2.543 0.000
1.760 -2.543 3.921
1.786 10.144 0.000
1.786 5.058 3.921
0.000 0.000 1.960
0.000 0.000 5.881
5.001 1.327 0.000
1.454 6.274 0.000
2.093 1.327 3.921
-1.454 6.274 3.921
3.547 0.000 1.960
0.000 7.601 1.960

Li3GaH | the Alexandria database | PBE | relaxed; uncorrected energy = -2.6619 eV/atom
1.0
3.987 0.000 0.000
0.000 3.987 0.000
0.000 0.000 3.987
Li Ga H
3 1 1
Cartesian
0.000 0.000 1.994
0.000 1.994 0.000
1.994 0.000 0.000
1.994 1.994 1.994
0.000 0.000 0.000

Tl6TeSe2 | the Alexandria database | PBE | relaxed; formation energy without anion corrections = -0.29 eV per atom; E above lowest polymorph = 0.000 eV/atom; uncorrected energy = -2.9865 eV/atom
1.0
4.019 -5.409 0.000
4.019 5.409 0.000
-2.389 0.000 7.233
Tl Te Se
6 1 2
Cartesian
0.574 3.258 5.826
1.075 0.000 4.102
5.074 3.258 1.407
0.574 -3.258 5.826
4.573 0.000 3.130
5.074 -3.258 1.407
4.019 0.000 0.000
2.824 3.210 3.616
2.824 -3.210 3.616

KCr2Si | the Alexandria database | PBE | relaxed; formation energy without anion corrections = 0.40 eV per atom; uncorrected energy = -6.0379 eV/atom
1.0
3.057 0.000 0.000
0.000 3.057 0.000
0.000 0.000 8.117
K Cr Si
1 2 1
Cartesian
0.000 0.000 0.000
0.000 0.000 3.935
1.529 1.529 5.162
1.529 1.529 2.553

LiAl | the Alexandria database | PBE | relaxed; uncorrected energy = -2.9111 eV/atom
1.0
-4.013 4.013 2.223
4.013 -4.013 2.223
4.013 4.013 -2.223
Li Al
4 4
Cartesian
2.368 0.000 0.000
5.659 0.000 0.000
0.000 2.368 0.000
0.000 5.659 0.000
2.650 2.650 0.000
1.363 -1.363 2.223
-1.363 1.363 2.223
1.363 1.363 2.223

TlZn2Ru | the Alexandria database | PBE | relaxed; E above lowest polymorph = 0.091 eV/atom; uncorrected energy = -3.2713 eV/atom
1.0
2.794 -3.599 0.000
2.794 3.599 0.000
0.000 0.000 3.333
Tl Zn Ru
1 2 1
Cartesian
0.000 0.000 0.000
1.397 1.800 1.666
1.397 -1.800 1.666
2.794 0.000 0.000

LaNdSm4Se8 | the Alexandria database | PBE | relaxed; formation energy without anion corrections = -1.75 eV per atom; uncorrected energy = -5.7808 eV/atom
1.0
4.326 2.497 7.093
-4.326 2.497 7.093
0.000 -4.995 7.093
La Nd Sm Se
1 1 4 8
Cartesian
0.000 0.000 0.000
0.000 0.000 13.295
-2.147 -1.239 9.774
0.000 0.000 5.345
2.147 -1.239 9.774
0.000 2.479 9.774
0.000 -2.376 11.468
-2.057 1.188 11.468
0.000 0.000 8.151
-1.998 -1.154 15.184
2.057 1.188 11.468
0.000 0.000 18.402
1.998 -1.154 15.184
0.000 2.307 15.184

KHfTe2O8 | the Alexandria database | PBE | relaxed; formation energy without anion corrections = -1.48 eV per atom; uncorrected energy = -6.2322 eV/atom
1.0
5.499 -2.930 0.000
5.499 2.930 0.000
-1.885 0.000 6.446
K Hf Te O
1 1 2 8
Cartesian
0.000 0.000 0.000
4.556 0.000 3.223
1.050 0.000 4.061
8.062 0.000 2.385
3.754 1.488 1.958
1.238 0.000 2.256
5.358 1.488 4.488
2.931 0.000 4.574
6.181 0.000 1.872
3.754 -1.488 1.958
7.874 0.000 4.190
5.358 -1.488 4.488

Cd3CuRu | the Alexandria database | PBE | relaxed; E above lowest polymorph = 0.000 eV/atom; uncorrected energy = -2.3374 eV/atom
1.0
4.809 0.000 0.000
0.000 4.809 0.000
0.000 0.000 4.809
Cd Cu Ru
3 1 1
Cartesian
0.000 0.000 2.404
0.000 2.404 0.000
2.404 0.000 0.000
0.000 0.000 0.000
2.404 2.404 2.404

La7Hg2Ru2 | the Alexandria database | PBE | relaxed; E above lowest polymorph = 0.041 eV/atom; uncorrected energy = -5.1517 eV/atom
1.0
4.126 -5.802 0.000
4.126 5.802 0.000
0.000 0.000 7.305
La Hg Ru
7 2 2
Cartesian
0.000 0.000 0.000
2.063 2.901 1.853
2.063 2.901 5.452
2.063 -2.901 1.853
2.063 -2.901 5.452
4.126 0.000 1.773
4.126 0.000 5.532
1.436 0.000 3.652
6.816 0.000 3.652
4.126 2.367 0.000
4.126 -2.367 0.000

Ac2PrZn3Pd4 | the Alexandria database | PBE | relaxed; uncorrected energy = -4.3886 eV/atom
1.0
4.494 0.000 0.000
0.000 4.494 0.000
0.000 0.000 11.338
Ac Pr Zn Pd
2 1 3 4
Cartesian
0.000 2.247 2.462
2.247 0.000 8.876
0.000 0.000 5.669
0.000 2.247 10.085
2.247 0.000 1.253
2.247 2.247 5.669
0.000 0.000 0.000
0.000 2.247 7.512
2.247 0.000 3.826
2.247 2.247 0.000

YMg4Pt | the Alexandria database | PBE | relaxed; uncorrected energy = -3.2317 eV/atom
1.0
0.000 3.995 3.995
3.995 0.000 3.995
3.995 3.995 0.000
Y Mg Pt
1 4 1
Cartesian
0.000 0.000 0.000
4.988 3.002 3.002
3.002 4.988 3.002
3.002 3.002 4.988
4.988 4.988 4.988
1.998 1.998 1.998

VSe2SN | the Alexandria database | PBE | relaxed; formation energy without anion corrections = 0.99 eV per atom; E above lowest polymorph = 0.639 eV/atom; uncorrected energy = -4.7178 eV/atom
1.0
4.974 0.000 0.000
0.000 4.974 0.000
0.000 0.000 3.317
V Se S N
1 2 1 1
Cartesian
0.000 0.000 0.000
0.000 2.487 1.658
2.487 0.000 1.658
2.487 2.487 1.658
2.487 2.487 0.000

RbTc2IrPd | the Alexandria database | PBE | relaxed; uncorrected energy = -4.7476 eV/atom
1.0
4.967 0.000 0.000
0.000 4.967 0.000
0.000 0.000 5.311
Rb Tc Ir Pd
1 2 1 1
Cartesian
0.000 0.000 0.000
0.000 2.484 2.655
2.484 0.000 2.655
2.484 2.484 0.000
0.000 0.000 2.655

Ca2TcAsAu | the Alexandria database | PBE | relaxed; uncorrected energy = -3.8802 eV/atom
1.0
5.441 0.000 0.000
0.000 5.441 0.000
0.000 0.000 4.893
Ca Tc As Au
2 1 1 1
Cartesian
0.000 2.720 0.000
2.720 0.000 0.000
0.000 0.000 0.000
2.720 2.720 2.447
0.000 0.000 2.447

In9SnPb2 | the Alexandria database | PBE | relaxed; uncorrected energy = -2.9862 eV/atom
1.0
5.055 0.000 0.000
0.000 5.055 0.000
0.000 0.000 13.150
In Sn Pb
9 1 2
Cartesian
0.000 0.000 0.000
0.000 0.000 4.355
0.000 0.000 8.795
0.000 2.528 2.137
0.000 2.528 6.575
0.000 2.528 11.012
2.528 0.000 2.137
2.528 0.000 6.575
2.528 0.000 11.012
2.528 2.528 0.000
2.528 2.528 4.366
2.528 2.528 8.784

Mg5HgPb2 | the Alexandria database | PBE | relaxed; uncorrected energy = -2.0367 eV/atom
1.0
-2.375 2.375 8.545
2.375 -2.375 8.545
2.375 2.375 -8.545
Mg Hg Pb
5 1 2
Cartesian
0.000 0.000 0.000
2.375 0.000 1.989
2.375 0.000 6.557
0.000 2.375 1.989
0.000 2.375 6.557
0.000 0.000 8.545
0.000 0.000 4.226
0.000 0.000 12.864

SrCaGa2Pt2 | the Alexandria database | PBE | relaxed; uncorrected energy = -4.4897 eV/atom
1.0
4.413 0.000 0.000
-2.206 3.822 0.000
0.000 0.000 8.098
Sr Ca Ga Pt
1 1 2 2
Cartesian
0.000 0.000 0.000
0.000 0.000 4.049
0.000 2.548 2.220
2.206 1.274 5.878
0.000 2.548 5.872
2.206 1.274 2.226

ScNi6P2 | the Alexandria database | PBE | relaxed; uncorrected energy = -6.2179 eV/atom
1.0
-1.918 3.349 4.490
1.918 -3.349 4.490
1.918 3.349 -4.490
Sc Ni P
1 6 2
Cartesian
0.000 0.000 0.000
1.918 -1.248 2.824
1.918 2.041 0.000
0.000 2.101 1.666
1.918 1.248 2.824
0.000 1.308 4.490
0.000 4.597 1.666
0.000 0.000 2.672
0.000 0.000 6.307

MnFeP4 | the Alexandria database | PBE | relaxed; E above lowest polymorph = 0.000 eV/atom; uncorrected energy = -6.7538 eV/atom
1.0
4.386 0.000 0.000
0.000 5.902 0.000
0.000 0.000 5.919
Mn Fe P
2 2 8
Cartesian
0.000 0.000 0.000
2.193 0.000 2.959
0.000 2.951 2.959
2.193 2.951 0.000
0.000 0.820 2.183
0.000 2.166 5.122
0.000 3.736 0.796
0.000 5.082 3.735
2.193 0.820 0.776
2.193 2.166 3.756
2.193 3.736 2.163
2.193 5.082 5.143